Record 1
This record from Alexandria describes a relaxed TiSi2Ag crystal. The functional is PBE-GGA.

Geometry as POSCAR:
```
TiSi2Ag
1.0
-2.531 6.407 -0.508
-6.405 -2.470 0.767
-4.249 2.280 2.963
Si Ti Ag
4 2 2
Cartesian
-5.353 -0.246 1.162
-3.474 4.339 0.514
-6.465 3.214 2.311
-11.079 5.127 2.458
-7.562 0.889 1.930
-4.468 1.969 0.129
-5.624 5.328 1.292
0.000 0.000 0.000
```

---

Record 2
This record from Alexandria describes a relaxed TiSi2Ag crystal. The functional is PBE-GGA.

Geometry as POSCAR:
```
TiSi2Ag
1.0
0.000 3.167 3.167
3.167 0.000 3.167
3.167 3.167 0.000
Si Ti Ag
2 1 1
Cartesian
4.750 4.750 4.750
1.583 1.583 1.583
0.000 0.000 0.000
3.167 3.167 3.167
```

---

Record 3
This record from Alexandria describes a relaxed Tl2SiAg2 crystal. The functional is PBE-GGA.

Geometry as POSCAR:
```
Tl2SiAg2
1.0
7.965 0.000 0.000
0.000 7.965 0.000
0.000 0.000 3.727
Tl Ag Si
4 4 2
Cartesian
2.606 6.589 0.000
5.359 1.376 0.000
6.589 5.359 0.000
1.376 2.606 0.000
2.979 1.004 1.864
4.986 6.961 1.864
1.004 4.986 1.864
6.961 2.979 1.864
0.000 0.000 0.000
3.983 3.983 0.000
```

Output
Polymorph energy (0 for the lowest one) (meV per atom): 191

---

Record 4
This record from Alexandria describes a relaxed TlSiAg2 crystal. The functional is PBE-GGA.

Geometry as POSCAR:
```
TlSiAg2
1.0
-6.601 -5.827 2.411
-5.141 -5.413 5.255
-7.366 -3.302 4.263
Ag Si Tl
2 1 1
Cartesian
-9.768 -7.434 6.098
-18.893 -14.378 11.795
-4.777 -3.635 2.982
-14.331 -10.906 8.947
```

---

Record 5
This record from Alexandria describes a relaxed TlSiAg2 crystal. The functional is PBE-GGA.

Geometry as POSCAR:
```
TlSiAg2
1.0
-2.420 2.768 3.700
-3.784 -2.477 -2.598
0.232 -2.375 1.928
Ag Si Tl
2 1 1
Cartesian
-3.102 0.145 0.551
0.000 0.000 0.000
-1.094 0.196 2.814
-1.776 -2.426 -0.335
```

---

Record 6
This record from Alexandria describes a relaxed Tl4SiAg crystal. The functional is PBE-GGA.

Geometry as POSCAR:
```
Tl4SiAg
1.0
0.000 4.439 4.439
4.439 0.000 4.439
4.439 4.439 0.000
Tl Si Ag
4 1 1
Cartesian
5.552 5.552 3.327
5.552 3.327 5.552
3.327 5.552 5.552
3.327 3.327 3.327
0.000 0.000 0.000
6.659 6.659 6.659
```

---

Record 7
This record from Alexandria describes a relaxed TlSiAg2 crystal. The functional is PBE-GGA.

Geometry as POSCAR:
```
TlSiAg2
1.0
-6.753 -4.388 -4.604
-7.707 -4.921 -1.561
-8.494 -2.156 -3.042
Ag Tl Si
2 1 1
Cartesian
-5.636 -2.815 -2.261
-22.795 -11.387 -9.143
-17.239 -8.611 -6.914
-11.715 -5.852 -4.699
```

---

Record 8
This record from Alexandria describes a relaxed TlSiAg2 crystal. The functional is PBE-GGA.

Geometry as POSCAR:
```
TlSiAg2
1.0
-2.813 3.792 0.833
-3.144 1.806 3.136
3.269 4.304 4.181
Tl Si Ag
1 1 2
Cartesian
-0.443 2.126 1.769
-0.990 5.604 4.689
-2.439 7.282 5.927
3.110 4.144 4.020
```

---

Going through the records in order, we get formation energy without anion corrections values of 0.237, 0.182, 0.480, 0.290, 0.372, 0.576, 0.350, 0.273 eV/atom.
Going through the records in order, we get raw total energy values of -5.161, -5.216, -2.692, -3.083, -3.001, -2.381, -3.023, -3.100 eV per atom.